# K2GaHgI6

A relaxed K2GaHgI6 crystal (PBE, Alexandria via LeMat-Bulk).

Structure (CIF):
```
data_K2GaHgI6
_chemical_formula_sum 'K8 Ga4 Hg4 I24'
_space_group_name_H-M_alt 'F m -3 m'
_space_group_IT_number 225
_space_group_name_Hall '-F 4 2 3'
_cell_length_a 11.8584
_cell_length_b 11.8584
_cell_length_c 11.8584
_cell_angle_alpha 90.00
_cell_angle_beta 90.00
_cell_angle_gamma 90.00
loop_
_atom_site_label
_atom_site_fract_x
_atom_site_fract_y
_atom_site_fract_z
K1 0.2500 0.2500 0.2500
Ga1 0.0000 0.0000 0.0000
Hg1 0.0000 0.0000 0.5000
I1 0.0000 0.0000 0.2424
```

***

# KGaHgI4

A relaxed KGaHgI4 crystal (PBE, Alexandria via LeMat-Bulk).

Structure (CIF):
```
data_KGaHgI4
_chemical_formula_sum 'K4 Ga4 Hg4 I16'
_space_group_name_H-M_alt 'C 1 2/m 1'
_space_group_IT_number 12
_cell_length_a 20.2539
_cell_length_b 8.4285
_cell_length_c 8.3783
_cell_angle_alpha 90.00
_cell_angle_beta 107.60
_cell_angle_gamma 90.00
loop_
_space_group_symop_operation_xyz
'x,y,z'
'-x,-y,-z'
'-x,y,-z'
'x,-y,z'
'x+1/2,y+1/2,z'
'-x+1/2,-y+1/2,-z'
'-x+1/2,y+1/2,-z'
'x+1/2,-y+1/2,z'
loop_
_atom_site_label
_atom_site_fract_x
_atom_site_fract_y
_atom_site_fract_z
K1 0.2200 0.0000 0.2586
Ga1 0.1574 0.0000 0.7062
Hg1 0.0234 0.5000 0.8152
I1 0.0756 0.0000 0.8889
I2 0.1355 0.2464 0.5101
I3 0.2140 0.5000 0.1042
```

***

# LiGaHgI4

A relaxed LiGaHgI4 crystal (PBE, Alexandria via LeMat-Bulk).

Structure (CIF):
```
data_LiGaHgI4
_chemical_formula_sum 'Li4 Ga4 Hg4 I16'
_space_group_name_H-M_alt 'C 1 2/m 1'
_space_group_IT_number 12
_cell_length_a 13.5601
_cell_length_b 11.5531
_cell_length_c 10.9035
_cell_angle_alpha 90.00
_cell_angle_beta 127.09
_cell_angle_gamma 90.00
loop_
_space_group_symop_operation_xyz
'x,y,z'
'-x,-y,-z'
'-x,y,-z'
'x,-y,z'
'x+1/2,y+1/2,z'
'-x+1/2,-y+1/2,-z'
'-x+1/2,y+1/2,-z'
'x+1/2,-y+1/2,z'
loop_
_atom_site_label
_atom_site_fract_x
_atom_site_fract_y
_atom_site_fract_z
Li1 0.1731 0.0000 0.4969
Ga1 0.2164 0.0000 0.8399
Hg1 0.1445 0.5000 0.5642
I1 0.0112 0.0000 0.8127
I2 0.1011 0.5000 0.8763
I3 0.2165 0.1782 0.6911
```

***

# LiGaHg2I4

A relaxed LiGaHg2I4 crystal (PBE, Alexandria via LeMat-Bulk).

Structure (CIF):
```
data_LiGaHg2I4
_chemical_formula_sum 'Li8 Ga8 Hg16 I32'
_space_group_name_H-M_alt 'F d d d'
_space_group_IT_number 70
_cell_length_a 6.9490
_cell_length_b 15.0590
_cell_length_c 29.4865
_cell_angle_alpha 90.00
_cell_angle_beta 90.00
_cell_angle_gamma 90.00
loop_
_space_group_symop_operation_xyz
'x,y,z'
'-x,-y,-z'
'-x+1/4,-y+1/4,z'
'x+1/4,y+1/4,-z'
'x,-y+1/4,-z+1/4'
'-x,y+1/4,z+1/4'
'-x+1/4,y,-z+1/4'
'x+1/4,-y,z+1/4'
'x,y+1/2,z+1/2'
'-x,-y+1/2,-z+1/2'
'-x+1/4,-y+3/4,z+1/2'
'x+1/4,y+3/4,-z+1/2'
'x,-y+3/4,-z+3/4'
'-x,y+3/4,z+3/4'
'-x+1/4,y+1/2,-z+3/4'
'x+1/4,-y+1/2,z+3/4'
'x+1/2,y,z+1/2'
'-x+1/2,-y,-z+1/2'
'-x+3/4,-y+1/4,z+1/2'
'x+3/4,y+1/4,-z+1/2'
'x+1/2,-y+1/4,-z+3/4'
'-x+1/2,y+1/4,z+3/4'
'-x+3/4,y,-z+3/4'
'x+3/4,-y,z+3/4'
'x+1/2,y+1/2,z'
'-x+1/2,-y+1/2,-z'
'-x+3/4,-y+3/4,z'
'x+3/4,y+3/4,-z'
'x+1/2,-y+3/4,-z+1/4'
'-x+1/2,y+3/4,z+1/4'
'-x+3/4,y+1/2,-z+1/4'
'x+3/4,-y+1/2,z+1/4'
loop_
_atom_site_label
_atom_site_fract_x
_atom_site_fract_y
_atom_site_fract_z
Li1 0.1250 0.1250 0.1250
Ga1 0.1250 0.1250 0.6250
Hg1 0.1250 0.1250 0.2957
I1 0.1031 0.2793 0.8252
```

***

# Ga2HgIN

A relaxed Ga2HgIN crystal (PBE, Alexandria via LeMat-Bulk).

Structure (CIF):
```
data_Ga2HgIN
_chemical_formula_sum 'Ga2 Hg1 I1 N1'
_space_group_name_H-M_alt 'P 4/m m m'
_space_group_IT_number 123
_space_group_name_Hall '-P 4 2'
_cell_length_a 5.3463
_cell_length_b 5.3463
_cell_length_c 6.3057
_cell_angle_alpha 90.00
_cell_angle_beta 90.00
_cell_angle_gamma 90.00
loop_
_atom_site_label
_atom_site_fract_x
_atom_site_fract_y
_atom_site_fract_z
Ga1 0.0000 0.5000 0.0000
Hg1 0.0000 0.0000 0.0000
I1 0.0000 0.0000 0.5000
N1 0.5000 0.5000 0.5000
```

***

# GaHgIN2 | Alexandria via LeMat-Bulk | PBE | optimized geometry
# Energy above the most stable polymorph in this dataset = 0 meV/atom
data_GaHgIN2
_chemical_formula_sum 'Ga1 Hg1 I1 N2'
_space_group_name_H-M_alt 'P 4/m m m'
_space_group_IT_number 123
_space_group_name_Hall '-P 4 2'
_cell_length_a 4.0617
_cell_length_b 4.0617
_cell_length_c 6.9378
_cell_angle_alpha 90.00
_cell_angle_beta 90.00
_cell_angle_gamma 90.00
loop_
_atom_site_label
_atom_site_fract_x
_atom_site_fract_y
_atom_site_fract_z
Ga1 0.0000 0.0000 0.0000
Hg1 0.5000 0.5000 0.5000
I1 0.0000 0.0000 0.5000
N1 0.0000 0.5000 0.0000

***

# GaHgIN2 | Alexandria via LeMat-Bulk | PBE | optimized geometry
# Energy above the most stable polymorph in this dataset = 364 meV/atom
data_GaHgIN2
_chemical_formula_sum 'Ga1 Hg1 I1 N2'
_space_group_name_H-M_alt 'P 4/m m m'
_space_group_IT_number 123
_space_group_name_Hall '-P 4 2'
_cell_length_a 4.4073
_cell_length_b 4.4073
_cell_length_c 7.7567
_cell_angle_alpha 90.00
_cell_angle_beta 90.00
_cell_angle_gamma 90.00
loop_
_atom_site_label
_atom_site_fract_x
_atom_site_fract_y
_atom_site_fract_z
Ga1 0.0000 0.0000 0.0000
Hg1 0.5000 0.5000 0.5000
I1 0.5000 0.5000 0.0000
N1 0.0000 0.5000 0.5000

***

# NaGaHg2I4

A relaxed NaGaHg2I4 crystal (PBE, Alexandria via LeMat-Bulk).

Structure (CIF):
```
data_NaGaHg2I4
_chemical_formula_sum 'Na8 Ga8 Hg16 I32'
_space_group_name_H-M_alt 'F d d d'
_space_group_IT_number 70
_cell_length_a 7.7032
_cell_length_b 14.5202
_cell_length_c 29.7366
_cell_angle_alpha 90.00
_cell_angle_beta 90.00
_cell_angle_gamma 90.00
loop_
_space_group_symop_operation_xyz
'x,y,z'
'-x,-y,-z'
'-x+1/4,-y+1/4,z'
'x+1/4,y+1/4,-z'
'x,-y+1/4,-z+1/4'
'-x,y+1/4,z+1/4'
'-x+1/4,y,-z+1/4'
'x+1/4,-y,z+1/4'
'x,y+1/2,z+1/2'
'-x,-y+1/2,-z+1/2'
'-x+1/4,-y+3/4,z+1/2'
'x+1/4,y+3/4,-z+1/2'
'x,-y+3/4,-z+3/4'
'-x,y+3/4,z+3/4'
'-x+1/4,y+1/2,-z+3/4'
'x+1/4,-y+1/2,z+3/4'
'x+1/2,y,z+1/2'
'-x+1/2,-y,-z+1/2'
'-x+3/4,-y+1/4,z+1/2'
'x+3/4,y+1/4,-z+1/2'
'x+1/2,-y+1/4,-z+3/4'
'-x+1/2,y+1/4,z+3/4'
'-x+3/4,y,-z+3/4'
'x+3/4,-y,z+3/4'
'x+1/2,y+1/2,z'
'-x+1/2,-y+1/2,-z'
'-x+3/4,-y+3/4,z'
'x+3/4,y+3/4,-z'
'x+1/2,-y+3/4,-z+1/4'
'-x+1/2,y+3/4,z+1/4'
'-x+3/4,y+1/2,-z+1/4'
'x+3/4,-y+1/2,z+1/4'
loop_
_atom_site_label
_atom_site_fract_x
_atom_site_fract_y
_atom_site_fract_z
Na1 0.1250 0.1250 0.1250
Ga1 0.1250 0.1250 0.6250
Hg1 0.1250 0.1250 0.2825
I1 0.0743 0.2734 0.8251
```

***

# NaGa2HgI6

A relaxed NaGa2HgI6 crystal (PBE, Alexandria via LeMat-Bulk).

Structure (CIF):
```
data_NaGa2HgI6
_chemical_formula_sum 'Na4 Ga8 Hg4 I24'
_space_group_name_H-M_alt 'C 1 2/c 1'
_space_group_IT_number 15
_cell_length_a 15.1047
_cell_length_b 16.9942
_cell_length_c 8.9543
_cell_angle_alpha 90.00
_cell_angle_beta 114.43
_cell_angle_gamma 90.00
loop_
_space_group_symop_operation_xyz
'x,y,z'
'-x,-y,-z'
'-x,y,-z+1/2'
'x,-y,z+1/2'
'x+1/2,y+1/2,z'
'-x+1/2,-y+1/2,-z'
'-x+1/2,y+1/2,-z+1/2'
'x+1/2,-y+1/2,z+1/2'
loop_
_atom_site_label
_atom_site_fract_x
_atom_site_fract_y
_atom_site_fract_z
Na1 0.0000 0.0053 0.2500
Ga1 0.2204 0.0948 0.6629
Hg1 0.0000 0.3843 0.7500
I1 0.0335 0.1349 0.5320
I2 0.1600 0.2918 0.2287
I3 0.2426 0.0129 0.4072
```

***

# NaGa2Hg2I6

A relaxed NaGa2Hg2I6 crystal (PBE, Alexandria via LeMat-Bulk).

Structure (CIF):
```
data_NaGa2Hg2I6
_chemical_formula_sum 'Na1 Ga2 Hg2 I6'
_space_group_name_H-M_alt 'P -3'
_space_group_IT_number 147
_cell_length_a 7.9612
_cell_length_b 7.9612
_cell_length_c 9.0315
_cell_angle_alpha 90.00
_cell_angle_beta 90.00
_cell_angle_gamma 120.00
loop_
_space_group_symop_operation_xyz
'x,y,z'
'-x,-y,-z'
'-y,x-y,z'
'y,-x+y,-z'
'-x+y,-x,z'
'x-y,x,-z'
loop_
_atom_site_label
_atom_site_fract_x
_atom_site_fract_y
_atom_site_fract_z
Na1 0.0000 0.0000 0.0000
Ga1 0.3333 0.6667 0.6873
Hg1 0.3333 0.6667 0.3994
I1 0.0100 0.6599 0.7930
```

***

# Nd8Ga3HgI4

A relaxed Nd8Ga3HgI4 crystal (PBE, Alexandria via LeMat-Bulk).

Structure (CIF):
```
data_Nd8Ga3HgI4
_chemical_formula_sum 'Nd16 Ga6 Hg2 I8'
_space_group_name_H-M_alt 'C 1 2/m 1'
_space_group_IT_number 12
_cell_length_a 15.2540
_cell_length_b 8.7975
_cell_length_c 9.1278
_cell_angle_alpha 90.00
_cell_angle_beta 123.89
_cell_angle_gamma 90.00
loop_
_space_group_symop_operation_xyz
'x,y,z'
'-x,-y,-z'
'-x,y,-z'
'x,-y,z'
'x+1/2,y+1/2,z'
'-x+1/2,-y+1/2,-z'
'-x+1/2,y+1/2,-z'
'x+1/2,-y+1/2,z'
loop_
_atom_site_label
_atom_site_fract_x
_atom_site_fract_y
_atom_site_fract_z
Nd1 0.0131 0.2429 0.2822
Nd2 0.2365 0.0000 0.7096
Nd3 0.2440 0.5000 0.7178
Ga1 0.0000 0.0000 0.5000
Ga2 0.2500 0.2500 0.5000
Hg1 0.0000 0.5000 0.5000
I1 0.0000 0.0000 0.0000
I2 0.0000 0.5000 0.0000
I3 0.2500 0.2500 0.0000
```

***

| no. | uncorrected formation energy (meV per atom) |
| --- | --- |
| 1 | -726 |
| 2 | -725 |
| 3 | -603 |
| 4 | -530 |
| 5 | 1221 |
| 6 | 1251 |
| 7 | 1615 |
| 8 | -532 |
| 9 | -497 |
| 10 | -457 |
| 11 | -731 |